Below is crystalline VTcTe2N at its relaxed geometry, with properties calculated at the PBE-GGA level.

Unit cell a=5.3302 b=5.3302 c=3.5923 alpha=90.00 beta=90.00 gamma=90.00
Last column: nearest neighbours and their distance in Å.
Fractional positions:
Te1 0.5000 0.0000 0.0000  2 V 2.67
Te2 0.0000 0.5000 0.0000  2 V 2.67
Tc1 0.5000 0.5000 0.5000  8 Te 3.21, 2 Tc 3.59
V1 0.0000 0.0000 0.0000  2 N 1.80
N1 0.0000 0.0000 0.5000  2 V 1.80

Calculated values
**Energy above the lowest structure with this stoichiometry**: 0.0962 eV/atom
**Total magnetization**: 3.55 μB per cell
**Uncorrected formation energy**: 0.564 eV/atom
**Symmetry**: P4/mmm, No. 123
**Uncorrected energy**: -31.276 eV per cell
**Fermi-level density of states**: 4.5 states/eV/cell



Below is crystalline TcTe2WN at its relaxed geometry, with properties calculated at the PBE-GGA level.

Unit cell a=5.3517 b=5.3517 c=3.6723 alpha=90.00 beta=90.00 gamma=90.00
Last column: nearest neighbours and their distance in Å.
Fractional positions:
W1 0.5000 0.5000 0.5000  8 Te 3.25
N1 0.0000 0.0000 0.5000  2 Tc 1.84
Tc1 0.0000 0.0000 0.0000  2 N 1.84
Te1 0.5000 0.0000 0.0000  2 Tc 2.68
Te2 0.0000 0.5000 0.0000  2 Tc 2.68

Calculated values
**Energy above the lowest structure with this stoichiometry**: 0.1292 eV/atom
**Total magnetization**: 3.21 μB per cell
**Uncorrected formation energy**: 0.992 eV/atom
**Symmetry**: P4/mmm, No. 123
**Uncorrected energy**: -32.968 eV per cell
**Fermi-level density of states**: 3.6 states/eV/cell



Below is crystalline TcTe2WN at its relaxed geometry, with properties calculated at the PBE-GGA level.

Unit cell a=5.4351 b=5.4351 c=3.7892 alpha=90.00 beta=90.00 gamma=90.00
Last column: nearest neighbours and their distance in Å.
Fractional positions:
Tc1 0.5000 0.5000 0.5000  8 Te 3.31
Te1 0.0000 0.5000 0.0000  2 W 2.72
Te2 0.5000 0.0000 0.0000  2 W 2.72
N1 0.0000 0.0000 0.5000  2 W 1.89
W1 0.0000 0.0000 0.0000  2 N 1.89

Calculated values
**Energy above the lowest structure with this stoichiometry**: 0.0000 eV/atom
**Total magnetization**: 4.03 μB per cell
**Uncorrected formation energy**: 0.863 eV/atom
**Symmetry**: P4/mmm, No. 123
**Uncorrected energy**: -33.614 eV per cell
**Fermi-level density of states**: 3.9 states/eV/cell



Below is crystalline YTcTeN2 at its relaxed geometry, with properties calculated at the PBE-GGA level.

Unit cell a=4.0441 b=4.0441 c=5.4689 alpha=90.00 beta=90.00 gamma=90.00
Last column: nearest neighbours and their distance in Å.
Fractional positions:
Te1 0.0000 0.0000 0.5000  2 Tc 2.73, 4 Y 2.86
N1 0.0000 0.5000 0.0000  2 Tc 2.02
N2 0.5000 0.0000 0.0000  2 Tc 2.02
Tc1 0.0000 0.0000 0.0000  4 N 2.02
Y1 0.5000 0.5000 0.5000  4 Te 2.86

Calculated values
**Energy above the lowest structure with this stoichiometry**: 0.0000 eV/atom
**Total magnetization**: 0.17 μB per cell
**Uncorrected formation energy**: 0.120 eV/atom
**Symmetry**: P4/mmm, No. 123
**Uncorrected energy**: -36.020 eV per cell
**Fermi-level density of states**: 2.3 states/eV/cell



Below is crystalline YTcTe2N at its relaxed geometry, with properties calculated at the PBE-GGA level.

Unit cell a=5.9384 b=5.9384 c=4.0759 alpha=90.00 beta=90.00 gamma=90.00
Last column: nearest neighbours and their distance in Å.
Fractional positions:
Te1 0.0000 0.5000 0.0000  2 Y 2.97
Te2 0.5000 0.0000 0.0000  2 Y 2.97
Tc1 0.5000 0.5000 0.5000  8 Te 3.60
Y1 0.0000 0.0000 0.0000  2 N 2.04
N1 0.0000 0.0000 0.5000  2 Y 2.04

Calculated values
**Energy above the lowest structure with this stoichiometry**: 1.1481 eV/atom
**Total magnetization**: 3.53 μB per cell
**Uncorrected formation energy**: 0.877 eV/atom
**Symmetry**: P4/mmm, No. 123
**Uncorrected energy**: -27.052 eV per cell
**Fermi-level density of states**: 3.6 states/eV/cell



Below is crystalline YTcTe2N at its relaxed geometry, with properties calculated at the PBE-GGA level.

Unit cell a=5.4959 b=5.4959 c=3.7739 alpha=90.00 beta=90.00 gamma=90.00
Last column: nearest neighbours and their distance in Å.
Fractional positions:
Tc1 0.0000 0.0000 0.0000  2 N 1.89
Y1 0.5000 0.5000 0.5000  8 Te 3.33
Te1 0.5000 0.0000 0.0000  2 Tc 2.75
Te2 0.0000 0.5000 0.0000  2 Tc 2.75
N1 0.0000 0.0000 0.5000  2 Tc 1.89

Calculated values
**Energy above the lowest structure with this stoichiometry**: 0.0000 eV/atom
**Total magnetization**: 0.05 μB per cell
**Uncorrected formation energy**: -0.271 eV/atom
**Symmetry**: P4/mmm, No. 123
**Uncorrected energy**: -32.793 eV per cell
**Fermi-level density of states**: 3.9 states/eV/cell